(1)
Below is Hf3HF at its PBEsol-relaxed geometry, with properties calculated at the meta-GGA SCAN level.

Structure (CIF):
```
data_Hf3HF
_chemical_formula_sum 'Hf3 H1 F1'
_cell_length_a 4.273
_cell_length_b 4.273
_cell_length_c 4.273
_cell_angle_alpha 90.00
_cell_angle_beta 90.00
_cell_angle_gamma 90.00
_symmetry_space_group_name_H-M 'P m -3 m'
_symmetry_Int_Tables_number 221
_symmetry_space_group_name_Hall '-P 4 2 3'
loop_
_atom_site_label
_atom_site_type_symbol
_atom_site_fract_x
_atom_site_fract_y
_atom_site_fract_z
Hf1 Hf 0.000 0.000 0.500
H1 H 0.000 0.000 0.000
F1 F 0.500 0.500 0.500
```

Calculated values
The electronic total energy comes out at -39.09 eV per atom. The magnetic moment comes out at 0.000 μB/atom. The calculation puts the volume at 78 Å³ per cell.

(2)
Below is HfH2IrF at its PBEsol-relaxed geometry, with properties calculated at the meta-GGA SCAN level.

Structure (CIF):
```
data_HfH2IrF
_chemical_formula_sum 'Hf1 H2 Ir1 F1'
_cell_length_a 3.346
_cell_length_b 3.346
_cell_length_c 5.107
_cell_angle_alpha 90.00
_cell_angle_beta 90.00
_cell_angle_gamma 90.00
_symmetry_space_group_name_H-M 'P 4/m m m'
_symmetry_Int_Tables_number 123
_symmetry_space_group_name_Hall '-P 4 2'
loop_
_atom_site_label
_atom_site_type_symbol
_atom_site_fract_x
_atom_site_fract_y
_atom_site_fract_z
Hf1 Hf 0.000 0.000 0.000
H1 H 0.000 0.500 0.500
Ir1 Ir 0.000 0.000 0.500
F1 F 0.500 0.500 0.000
```

Calculated values
The electronic total energy comes out at -29.51 eV per atom. The magnetic moment comes out at 0.000 μB/atom. The calculation puts the volume at 57 Å³ per cell.

(3)
Below is HfHNF2 at its PBEsol-relaxed geometry, with properties calculated at the meta-GGA SCAN level.

Structure (CIF):
```
data_HfHNF2
_chemical_formula_sum 'Hf1 H1 N1 F2'
_cell_length_a 4.083
_cell_length_b 4.083
_cell_length_c 4.086
_cell_angle_alpha 90.00
_cell_angle_beta 90.00
_cell_angle_gamma 90.00
_symmetry_space_group_name_H-M 'P 4/m m m'
_symmetry_Int_Tables_number 123
_symmetry_space_group_name_Hall '-P 4 2'
loop_
_atom_site_label
_atom_site_type_symbol
_atom_site_fract_x
_atom_site_fract_y
_atom_site_fract_z
Hf1 Hf 0.000 0.000 0.000
H1 H 0.500 0.500 0.500
N1 N 0.000 0.000 0.500
F1 F 0.000 0.500 0.000
```

Calculated values
The electronic total energy comes out at -18.00 eV per atom. The magnetic moment comes out at 0.000 μB/atom. The calculation puts the volume at 68 Å³ per cell.

(4)
Below is HfHO2F at its PBEsol-relaxed geometry, with properties calculated at the meta-GGA SCAN level.

Structure (CIF):
```
data_HfHO2F
_chemical_formula_sum 'Hf1 H1 O2 F1'
_cell_length_a 3.468
_cell_length_b 3.468
_cell_length_c 3.085
_cell_angle_alpha 90.00
_cell_angle_beta 90.00
_cell_angle_gamma 90.00
_symmetry_space_group_name_H-M 'P 4/m m m'
_symmetry_Int_Tables_number 123
_symmetry_space_group_name_Hall '-P 4 2'
loop_
_atom_site_label
_atom_site_type_symbol
_atom_site_fract_x
_atom_site_fract_y
_atom_site_fract_z
Hf1 Hf 0.000 0.000 0.000
H1 H 0.500 0.500 0.500
O1 O 0.000 0.500 0.500
F1 F 0.500 0.500 0.000
```

Calculated values
The electronic total energy comes out at -18.25 eV per atom. The magnetic moment comes out at 0.000 μB/atom. The calculation puts the volume at 37 Å³ per cell.

(5)
Below is HfPH2F at its PBEsol-relaxed geometry, with properties calculated at the meta-GGA SCAN level.

Structure (CIF):
```
data_HfPH2F
_chemical_formula_sum 'Hf1 P1 H2 F1'
_cell_length_a 3.339
_cell_length_b 3.339
_cell_length_c 5.097
_cell_angle_alpha 90.00
_cell_angle_beta 90.00
_cell_angle_gamma 90.00
_symmetry_space_group_name_H-M 'P 4/m m m'
_symmetry_Int_Tables_number 123
_symmetry_space_group_name_Hall '-P 4 2'
loop_
_atom_site_label
_atom_site_type_symbol
_atom_site_fract_x
_atom_site_fract_y
_atom_site_fract_z
Hf1 Hf 0.000 0.000 0.000
P1 P 0.000 0.000 0.500
H1 H 0.000 0.500 0.500
F1 F 0.500 0.500 0.000
```

Calculated values
The electronic total energy comes out at -17.15 eV per atom. The magnetic moment comes out at 0.001 μB/atom. The calculation puts the volume at 57 Å³ per cell.

(6)
Below is HfTaHF2 at its PBEsol-relaxed geometry, with properties calculated at the meta-GGA SCAN level.

Structure (CIF):
```
data_HfTaHF2
_chemical_formula_sum 'Hf1 Ta1 H1 F2'
_cell_length_a 4.204
_cell_length_b 4.204
_cell_length_c 3.525
_cell_angle_alpha 90.00
_cell_angle_beta 90.00
_cell_angle_gamma 90.00
_symmetry_space_group_name_H-M 'P 4/m m m'
_symmetry_Int_Tables_number 123
_symmetry_space_group_name_Hall '-P 4 2'
loop_
_atom_site_label
_atom_site_type_symbol
_atom_site_fract_x
_atom_site_fract_y
_atom_site_fract_z
Hf1 Hf 0.000 0.000 0.000
Ta1 Ta 0.500 0.500 0.000
H1 H 0.000 0.000 0.500
F1 F 0.000 0.500 0.500
```

Calculated values
The electronic total energy comes out at -28.19 eV per atom. The magnetic moment comes out at 0.000 μB/atom. The calculation puts the volume at 62 Å³ per cell.

(7)
Below is Hg2HF at its PBEsol-relaxed geometry, with properties calculated at the meta-GGA SCAN level.

Structure (CIF):
```
data_Hg2HF
_chemical_formula_sum 'Hg8 H4 F4'
_cell_length_a 6.146
_cell_length_b 6.146
_cell_length_c 6.146
_cell_angle_alpha 90.00
_cell_angle_beta 90.00
_cell_angle_gamma 90.00
_symmetry_space_group_name_H-M 'F m -3 m'
_symmetry_Int_Tables_number 225
_symmetry_space_group_name_Hall '-F 4 2 3'
loop_
_atom_site_label
_atom_site_type_symbol
_atom_site_fract_x
_atom_site_fract_y
_atom_site_fract_z
Hg1 Hg 0.250 0.250 0.250
H1 H 0.000 0.000 0.000
F1 F 0.000 0.000 0.500
```

Calculated values
The electronic total energy comes out at -35.79 eV per atom. The magnetic moment comes out at 0.000 μB/atom. The calculation puts the volume at 232 Å³ per cell.

(8)
Below is HgHN2F at its PBEsol-relaxed geometry, with properties calculated at the meta-GGA SCAN level.

Structure (CIF):
```
data_HgHN2F
_chemical_formula_sum 'Hg1 H1 N2 F1'
_cell_length_a 3.223
_cell_length_b 3.223
_cell_length_c 4.579
_cell_angle_alpha 90.00
_cell_angle_beta 90.00
_cell_angle_gamma 90.00
_symmetry_space_group_name_H-M 'P 4/m m m'
_symmetry_Int_Tables_number 123
_symmetry_space_group_name_Hall '-P 4 2'
loop_
_atom_site_label
_atom_site_type_symbol
_atom_site_fract_x
_atom_site_fract_y
_atom_site_fract_z
Hg1 Hg 0.000 0.000 0.000
H1 H 0.500 0.500 0.500
N1 N 0.000 0.500 0.500
F1 F 0.500 0.500 0.000
```

Calculated values
The electronic total energy comes out at -17.30 eV per atom. The magnetic moment comes out at 0.266 μB/atom. The calculation puts the volume at 48 Å³ per cell.

(9)
Below is HgHO2F at its PBEsol-relaxed geometry, with properties calculated at the meta-GGA SCAN level.

Structure (CIF):
```
data_HgHO2F
_chemical_formula_sum 'Hg1 H1 O2 F1'
_cell_length_a 3.226
_cell_length_b 3.226
_cell_length_c 4.458
_cell_angle_alpha 90.00
_cell_angle_beta 90.00
_cell_angle_gamma 90.00
_symmetry_space_group_name_H-M 'P 4/m m m'
_symmetry_Int_Tables_number 123
_symmetry_space_group_name_Hall '-P 4 2'
loop_
_atom_site_label
_atom_site_type_symbol
_atom_site_fract_x
_atom_site_fract_y
_atom_site_fract_z
Hg1 Hg 0.000 0.000 0.000
H1 H 0.500 0.500 0.500
O1 O 0.000 0.500 0.500
F1 F 0.500 0.500 0.000
```

Calculated values
The electronic total energy comes out at -17.26 eV per atom. The magnetic moment comes out at 0.000 μB/atom. The calculation puts the volume at 46 Å³ per cell.

(10)
Below is HgTeHO3F at its PBEsol-relaxed geometry, with properties calculated at the meta-GGA SCAN level.

Structure (CIF):
```
data_HgTeHO3F
_chemical_formula_sum 'Hg4 Te4 H4 O12 F4'
_cell_length_a 8.604
_cell_length_b 7.824
_cell_length_c 5.915
_cell_angle_alpha 90.00
_cell_angle_beta 90.00
_cell_angle_gamma 90.00
_symmetry_space_group_name_H-M 'P c a 21'
_symmetry_Int_Tables_number 29
loop_
_symmetry_equiv_pos_as_xyz
'x,y,z'
'-x,-y,z+1/2'
'-x+1/2,y,z+1/2'
'x+1/2,-y,z'
loop_
_atom_site_label
_atom_site_type_symbol
_atom_site_fract_x
_atom_site_fract_y
_atom_site_fract_z
Hg1 Hg 0.146 0.072 0.000
Te1 Te 0.066 0.667 0.185
H1 H 0.081 0.685 0.625
O1 O 0.124 0.607 0.505
O2 O 0.141 0.264 0.765
O3 O 0.153 0.889 0.246
F1 F 0.012 0.770 0.851
```

Calculated values
The electronic total energy comes out at -19.81 eV per atom. The magnetic moment comes out at 0.000 μB/atom. The calculation puts the volume at 398 Å³ per cell.

(11)
Below is HIF3 at its PBEsol-relaxed geometry, with properties calculated at the meta-GGA SCAN level.

Structure (CIF):
```
data_HIF3
_chemical_formula_sum 'H1 I1 F3'
_cell_length_a 3.740
_cell_length_b 3.740
_cell_length_c 3.740
_cell_angle_alpha 90.00
_cell_angle_beta 90.00
_cell_angle_gamma 90.00
_symmetry_space_group_name_H-M 'P m -3 m'
_symmetry_Int_Tables_number 221
_symmetry_space_group_name_Hall '-P 4 2 3'
loop_
_atom_site_label
_atom_site_type_symbol
_atom_site_fract_x
_atom_site_fract_y
_atom_site_fract_z
H1 H 0.000 0.000 0.000
I1 I 0.500 0.500 0.500
F1 F 0.000 0.000 0.500
```

Calculated values
The electronic total energy comes out at -10.42 eV per atom. The magnetic moment comes out at 0.296 μB/atom. The calculation puts the volume at 52 Å³ per cell.

(12)
Below is KHI2F12 at its PBEsol-relaxed geometry, with properties calculated at the meta-GGA SCAN level.

Structure (CIF):
```
data_KHI2F12
_chemical_formula_sum 'K4 H4 I8 F48'
_cell_length_a 9.868
_cell_length_b 9.868
_cell_length_c 10.377
_cell_angle_alpha 90.00
_cell_angle_beta 90.00
_cell_angle_gamma 90.00
_symmetry_space_group_name_H-M 'I 4/m c m'
_symmetry_Int_Tables_number 140
_symmetry_space_group_name_Hall '-I 4 2c'
loop_
_atom_site_label
_atom_site_type_symbol
_atom_site_fract_x
_atom_site_fract_y
_atom_site_fract_z
K1 K 0.000 0.000 0.250
H1 H 0.000 0.500 0.250
I1 I 0.155 0.345 0.000
F1 F 0.000 0.500 0.139
F2 F 0.080 0.224 0.128
F3 F 0.211 0.289 0.500
```

Calculated values
The electronic total energy comes out at -9.83 eV per atom. The magnetic moment comes out at 0.000 μB/atom. The calculation puts the volume at 1010 Å³ per cell.

What is the volume in the eleventh record?
52 Å³ per cell

Among the records above, which one has the lowest electronic total energy?
Hf3HF